A.
RbGa3Tc | PBE | relaxed

a = 5.0607 Å, b = 15.1350 Å, c = 4.9281 Å
α = 109.89°, β = 61.04°, γ = 115.19°
Closest atoms and distances in Å follow each position.
Sites, in units of the cell vectors:
Rb (0.0333, 0.3167, 0.3777)  5 Ga 3.48-3.79
Rb (0.3257, 0.9938, 0.8769)  4 Ga 3.47-3.78, 1 Tc 3.61
Ga (0.9209, 0.7303, 0.0306)  2 Ga 2.48, 3 Tc 2.55-2.77
Ga (0.5981, 0.5006, 0.7605)  1 Tc 2.56, 3 Ga 2.70-2.82
Ga (0.2990, 0.5715, 0.4046)  3 Tc 2.55-2.66, 2 Ga 2.82-2.84
Ga (0.9642, 0.7183, 0.4970)  2 Ga 2.48, 3 Tc 2.56-2.73
Ga (0.8450, 0.4959, 0.1323)  1 Tc 2.57, 3 Ga 2.70-2.84
Ga (0.5427, 0.8382, 0.1085)  3 Tc 2.66-2.71, 2 Ga 2.82-2.83
Tc (0.4778, 0.7596, 0.5643)  7 Ga 2.55-2.71, 1 Tc 2.71
Tc (0.3581, 0.6395, 0.9390)  9 Ga 2.56-2.86, 1 Tc 2.71

Magnetic moment in μB per formula unit: 0.00

***

B.
RbGa3Tc | PBE | relaxed

a = 7.1850 Å, b = 7.2914 Å, c = 10.2556 Å
α = 90.00°, β = 90.00°, γ = 90.00°
Closest atoms and distances in Å follow each position.
Sites, in units of the cell vectors:
Ga (0.0000, 0.9218, 0.8626)  2 Tc 2.44-2.66, 1 Ga 2.50
Ga (0.5000, 0.4218, 0.3626)  2 Tc 2.44-2.66, 1 Ga 2.50
Ga (0.5000, 0.0782, 0.3626)  2 Tc 2.44-2.66, 1 Ga 2.50
Ga (0.0000, 0.4218, 0.1374)  2 Tc 2.44-2.66, 1 Ga 2.50
Ga (0.0000, 0.0782, 0.1374)  2 Tc 2.44-2.66, 1 Ga 2.50
Ga (0.5000, 0.5782, 0.6374)  2 Tc 2.44-2.66, 1 Ga 2.50
Ga (0.5000, 0.9218, 0.6374)  2 Tc 2.44-2.66, 1 Ga 2.50
Ga (0.0000, 0.5782, 0.8626)  2 Tc 2.44-2.66, 1 Ga 2.50
Ga (0.2500, 0.2500, 0.7500)  2 Tc 2.42
Ga (0.2500, 0.7500, 0.2500)  2 Tc 2.42
Ga (0.7500, 0.7500, 0.2500)  2 Tc 2.42
Ga (0.7500, 0.2500, 0.7500)  2 Tc 2.42
Tc (0.5000, 0.2500, 0.5915)  6 Ga 2.42-2.66
Tc (0.0000, 0.7500, 0.0915)  6 Ga 2.42-2.66
Tc (0.5000, 0.7500, 0.4085)  6 Ga 2.42-2.66
Tc (0.0000, 0.2500, 0.9085)  6 Ga 2.42-2.66
Rb (0.0000, 0.0000, 0.5000)  10 Ga 3.62-3.90, 2 Rb 3.65
Rb (0.5000, 0.5000, 0.0000)  10 Ga 3.62-3.90, 2 Rb 3.65
Rb (0.5000, 0.0000, 0.0000)  10 Ga 3.62-3.90, 2 Rb 3.65
Rb (0.0000, 0.5000, 0.5000)  10 Ga 3.62-3.90, 2 Rb 3.65

Magnetic moment in μB per formula unit: 0.00

***

Of them, A has the highest stability.

***

A.
LiSiMo | PBE | relaxed

a = 4.1359 Å, b = 4.1359 Å, c = 4.1359 Å
α = 60.00°, β = 60.00°, γ = 60.00°
Closest atoms and distances in Å follow each position.
Sites, in units of the cell vectors:
Li (0.5000, 0.5000, 0.5000)  4 Mo 2.53
Mo (0.2500, 0.2500, 0.2500)  4 Li 2.53, 4 Si 2.53
Si (0.0000, 0.0000, 0.0000)  4 Mo 2.53

Magnetic moment in μB per formula unit: 1.06

***

B.
LiSiMo | PBE | relaxed

a = 4.6607 Å, b = 4.6607 Å, c = 4.6607 Å
α = 146.44°, β = 132.81°, γ = 59.14°
Closest atoms and distances in Å follow each position.
Sites, in units of the cell vectors:
Li (0.0085, 0.0085, 0.0000)  5 Mo 2.60-2.72, 5 Si 2.61-2.81, 2 Li 2.69
Mo (0.3297, 0.3297, 0.0000)  5 Li 2.60-2.72, 5 Si 2.67-2.69, 2 Mo 2.69
Si (0.6618, 0.6618, 0.0000)  5 Li 2.61-2.81, 5 Mo 2.67-2.69, 2 Si 2.69

Magnetic moment in μB per formula unit: 0.00

***

Of them, B has the highest stability.

***

A.
B5C7 | PBE | relaxed

a = 2.5030 Å, b = 4.7221 Å, c = 6.8444 Å
α = 96.04°, β = 90.00°, γ = 90.00°
Closest atoms and distances in Å follow each position.
Sites, in units of the cell vectors:
B (0.5000, 0.7897, 0.3592)  2 C 1.57-1.62
B (0.5000, 0.2149, 0.8876)  2 C 1.62-1.64, 2 B 1.80
B (0.0000, 0.6803, 0.6252)  3 C 1.56-1.63
B (0.0000, 0.9825, 0.2360)  1 C 1.65, 3 B 1.81-1.83
B (0.0000, 0.9774, 0.9681)  1 C 1.48
C (0.5000, 0.4620, 0.2592)  3 C 1.52-1.58, 1 B 1.62
C (0.5000, 0.5084, 0.0343)  3 C 1.50-1.58, 1 B 1.62
C (0.0000, 0.3368, 0.5666)  3 C 1.55-1.62, 1 B 1.63
C (0.0000, 0.3186, 0.3291)  3 C 1.52-1.62, 1 B 1.65
C (0.0000, 0.6726, 0.0006)  1 B 1.48, 2 C 1.50
C (0.5000, 0.1915, 0.6464)  3 C 1.55, 1 B 1.64
C (0.5000, 0.8654, 0.5876)  1 C 1.55, 3 B 1.56-1.57

Magnetic moment in μB per formula unit: 0.00

***

B.
B5C7 | PBE | relaxed

a = 2.5773 Å, b = 3.9269 Å, c = 7.7529 Å
α = 91.33°, β = 90.00°, γ = 90.00°
Closest atoms and distances in Å follow each position.
Sites, in units of the cell vectors:
B (0.5000, 0.5539, 0.1600)  2 C 1.56-1.62, 2 B 1.74
B (0.0000, 0.2618, 0.1895)  3 B 1.63-1.74
B (0.0000, 0.9871, 0.9899)  3 C 1.62-1.71
B (0.0000, 0.2631, 0.5078)  3 C 1.64-1.69
B (0.0000, 0.9380, 0.3181)  2 C 1.55, 1 B 1.63
C (0.5000, 0.7384, 0.9842)  1 C 1.52, 3 B 1.56-1.62
C (0.5000, 0.5197, 0.5073)  2 C 1.48-1.54, 2 B 1.64
C (0.5000, 0.7293, 0.3510)  1 C 1.48, 3 B 1.55-1.62
C (0.5000, 0.4978, 0.8283)  4 C 1.52-1.62
C (0.0000, 0.2673, 0.8238)  3 C 1.57-1.59, 1 B 1.71
C (0.0000, 0.9881, 0.6715)  3 C 1.58-1.59, 1 B 1.69
C (0.5000, 0.7555, 0.6686)  4 C 1.54-1.62

Magnetic moment in μB per formula unit: 0.00

***

Of them, A has the highest stability.

***

A.
PmYCd | PBE | relaxed

a = 3.6743 Å, b = 3.6743 Å, c = 7.0464 Å
α = 105.11°, β = 105.11°, γ = 90.00°
Closest atoms and distances in Å follow each position.
Sites, in units of the cell vectors:
Y (0.6030, 0.6030, 0.2061)  4 Cd 3.25, 4 Pm 3.60
Cd (0.9542, 0.9542, 0.9084)  4 Y 3.25, 4 Pm 3.35
Pm (0.2928, 0.2928, 0.5856)  4 Cd 3.35, 4 Y 3.60, 4 Pm 3.67

Magnetic moment in μB per formula unit: 0.66

***

B.
PmYCd | PBE | relaxed

a = 5.4425 Å, b = 5.4425 Å, c = 6.4708 Å
α = 90.00°, β = 90.00°, γ = 119.96°
Closest atoms and distances in Å follow each position.
Sites, in units of the cell vectors:
Cd (0.0000, 0.0000, 0.5000)  2 Cd 3.24, 6 Y 3.53-3.54, 6 Pm 3.53
Cd (0.0000, 0.0000, 0.0000)  2 Cd 3.24, 6 Y 3.53-3.54, 6 Pm 3.53
Pm (0.3335, 0.6665, 0.2500)  5 Y 3.14-3.24
Pm (0.6665, 0.3335, 0.7500)  5 Y 3.14-3.24
Y (0.3330, 0.6670, 0.7500)  5 Pm 3.14-3.24
Y (0.6670, 0.3330, 0.2500)  5 Pm 3.14-3.24

Magnetic moment in μB per formula unit: 0.00

***

Of them, A has the highest stability.

***

A.
MnBe2Br | PBE | relaxed

a = 3.3812 Å, b = 3.0482 Å, c = 6.1580 Å
α = 75.62°, β = 90.00°, γ = 90.00°
Closest atoms and distances in Å follow each position.
Sites, in units of the cell vectors:
Be (0.0000, 0.0802, 0.9646)  2 Be 2.20, 4 Mn 2.33
Be (0.5000, 0.9644, 0.1996)  2 Be 2.20, 2 Br 2.27, 2 Mn 2.43-2.44
Mn (0.5000, 0.6219, 0.8817)  6 Be 2.33-2.44
Br (0.0000, 0.8335, 0.4541)  2 Be 2.27

Magnetic moment in μB per formula unit: 2.62

***

B.
MnBe2Br | PBE | relaxed

a = 3.0644 Å, b = 3.1660 Å, c = 5.8457 Å
α = 89.90°, β = 90.00°, γ = 90.00°
Closest atoms and distances in Å follow each position.
Sites, in units of the cell vectors:
Be (0.0000, 0.2499, 0.9253)  1 Be 2.05
Be (0.0000, 0.2501, 0.5747)  1 Be 2.05
Mn (0.5000, 0.7500, 0.7500)  8 Be 2.43
Br (0.5000, 0.2500, 0.2500)  4 Be 2.44

Magnetic moment in μB per formula unit: 2.43

***

Of them, B has the highest stability.

***

A.
TcMo | PBE | relaxed

a = 4.4210 Å, b = 4.4210 Å, c = 4.4210 Å
α = 90.00°, β = 120.00°, γ = 60.00°
Closest atoms and distances in Å follow each position.
Sites, in units of the cell vectors:
Mo (0.0000, 0.0000, 0.0000)  4 Mo 2.71, 4 Tc 2.71
Mo (0.5000, 0.2500, 0.2500)  4 Mo 2.71, 4 Tc 2.71
Tc (0.5000, 0.7500, 0.7500)  4 Tc 2.71, 4 Mo 2.71
Tc (0.0000, 0.5000, 0.5000)  4 Mo 2.71, 4 Tc 2.71

Magnetic moment in μB per formula unit: 0.00

***

B.
TcMo | PBE | relaxed

a = 4.6366 Å, b = 5.2363 Å, c = 2.6551 Å
α = 90.00°, β = 106.31°, γ = 90.00°
Closest atoms and distances in Å follow each position.
Sites, in units of the cell vectors:
Tc (0.0000, 0.6051, 0.0000)  6 Tc 2.66-2.94, 4 Mo 2.66-2.67
Tc (0.0000, 0.1051, 0.5000)  6 Tc 2.66-2.94, 4 Mo 2.66-2.67
Mo (0.5000, 0.8529, 0.5000)  6 Mo 2.66-2.94, 4 Tc 2.66-2.67
Mo (0.5000, 0.3529, 0.0000)  6 Mo 2.66-2.94, 4 Tc 2.66-2.67

Magnetic moment in μB per formula unit: 0.00

***

Of them, A has the highest stability.

***

A.
BeSn | PBE | relaxed

a = 9.7429 Å, b = 9.7429 Å, c = 3.5252 Å
α = 90.00°, β = 90.00°, γ = 90.00°
Closest atoms and distances in Å follow each position.
Sites, in units of the cell vectors:
Be (0.4741, 0.0992, 0.0000)  1 Be 2.00
Be (0.5259, 0.9008, 0.0000)  1 Be 2.00
Be (0.9008, 0.4741, 0.0000)  1 Be 2.00
Be (0.0992, 0.5259, 0.0000)  1 Be 2.00
Be (0.9741, 0.5992, 0.5000)  1 Be 2.00
Be (0.0259, 0.4008, 0.5000)  1 Be 2.00
Be (0.4008, 0.9741, 0.5000)  1 Be 2.00
Be (0.5992, 0.0259, 0.5000)  1 Be 2.00
Sn (0.2164, 0.9954, 0.0000)  3 Be 2.53-2.71
Sn (0.7836, 0.0046, 0.0000)  3 Be 2.53-2.71
Sn (0.0046, 0.2164, 0.0000)  3 Be 2.53-2.71
Sn (0.9954, 0.7836, 0.0000)  3 Be 2.53-2.71
Sn (0.7164, 0.4954, 0.5000)  3 Be 2.53-2.71
Sn (0.2836, 0.5046, 0.5000)  3 Be 2.53-2.71
Sn (0.5046, 0.7164, 0.5000)  3 Be 2.53-2.71
Sn (0.4954, 0.2836, 0.5000)  3 Be 2.53-2.71

Magnetic moment in μB per formula unit: 0.00

***

B.
BeSn | PBE | relaxed

a = 9.5257 Å, b = 9.5257 Å, c = 3.7521 Å
α = 90.00°, β = 90.00°, γ = 120.00°
Closest atoms and distances in Å follow each position.
Sites, in units of the cell vectors:
Be (0.5716, 0.0077, 0.2500)  2 Be 2.28, 4 Sn 2.44-2.52
Be (0.5639, 0.5716, 0.7500)  2 Be 2.28, 4 Sn 2.44-2.52
Be (0.9923, 0.5639, 0.2500)  2 Be 2.28, 4 Sn 2.44-2.52
Be (0.4284, 0.9923, 0.7500)  2 Be 2.28, 4 Sn 2.44-2.52
Be (0.4361, 0.4284, 0.2500)  2 Be 2.28, 4 Sn 2.44-2.52
Be (0.0077, 0.4361, 0.7500)  2 Be 2.28, 4 Sn 2.44-2.52
Sn (0.8236, 0.2672, 0.2500)  4 Be 2.44-2.52
Sn (0.5564, 0.8236, 0.7500)  4 Be 2.44-2.52
Sn (0.7328, 0.5564, 0.2500)  4 Be 2.44-2.52
Sn (0.1764, 0.7328, 0.7500)  4 Be 2.44-2.52
Sn (0.4436, 0.1764, 0.2500)  4 Be 2.44-2.52
Sn (0.2672, 0.4436, 0.7500)  4 Be 2.44-2.52

Magnetic moment in μB per formula unit: 0.00

***

Of them, A has the highest stability.